# 1
Entry from Alexandria via LeMat-Bulk: a relaxed GdHoRe4 crystal (GGA-PBE).

Output
- Calculated volume: 113.1 Å³/cell
- Formation enthalpy at 0 K: -0.15 eV/atom
- Total magnetization: 6.41 μB per formula unit

The structure in extended XYZ format:
```
6
Lattice="-1.2627 3.0360 4.3198 -3.7676 -1.7124 3.5135 1.4604 -1.6148 4.9731" Properties=species:S:1:pos:R:3 pbc="T T T"
Re -2.9620 0.6258 5.5170
Re -0.3466 0.6747 6.2471
Re -2.2315 -0.1820 8.0048
Re -1.5998 -1.7008 5.8438
Gd -0.8925 -0.0728 3.2016
Ho 0.0000 0.0000 0.0000
```

***

# 2
Entry from Alexandria via LeMat-Bulk: a relaxed NaScIn2I6 crystal (GGA-PBE).

Output
- Calculated volume: 419.0 Å³/cell
- ΔE_f (raw): -0.91 eV per atom
- Total magnetization: 0.00 μB per formula unit

The structure in extended XYZ format:
```
10
Lattice="8.3297 0.0010 0.0007 4.1657 7.2139 0.0007 4.1656 2.4057 6.9741" Properties=species:S:1:pos:R:3 pbc="T T T"
Na 12.4954 7.2159 3.7996
Sc 4.1649 2.4049 0.1823
In 8.3307 4.8098 2.8706
In 4.1660 2.4059 6.5276
I 6.5244 1.9400 1.7986
I 6.7481 7.8085 1.7991
I 11.7187 4.6820 1.7993
I 9.7875 6.6448 5.4016
I 9.1907 2.6315 5.4024
I 6.0135 5.1553 5.4022
```

***

# 3
Entry from Alexandria via LeMat-Bulk: a relaxed CuTcSn2 crystal (GGA-PBE).

Output
- Calculated volume: 70.6 Å³/cell
- Formation enthalpy at 0 K: 0.13 eV/atom
- Distance to the lowest polymorph of the same formula: 0.0 meV per atom
- Total magnetization: 0.00 μB per formula unit

The structure in extended XYZ format:
```
4
Lattice="3.4129 0.0000 0.0000 0.0000 3.4129 0.0000 0.0000 0.0000 6.0622" Properties=species:S:1:pos:R:3 pbc="T T T"
Sn 0.0000 0.0000 4.5570
Sn 0.0000 0.0000 1.5052
Cu 1.7064 1.7064 0.0000
Tc 1.7064 1.7064 3.0311
```

***

# 4
Entry from Alexandria via LeMat-Bulk: a relaxed Pm2Ho2Er crystal (GGA-PBE).

Output
- Calculated volume: 170.6 Å³/cell
- Formation enthalpy at 0 K: 0.38 eV/atom
- Distance to the lowest polymorph of the same formula: 361.0 meV per atom
- Total magnetization: 0.00 μB per formula unit

The structure in extended XYZ format:
```
5
Lattice="4.5586 0.0000 0.0000 0.0000 4.5586 0.0000 -2.2793 -2.2793 8.2105" Properties=species:S:1:pos:R:3 pbc="T T T"
Pm 2.2793 0.0000 4.1052
Pm 0.0000 2.2793 4.1052
Ho 0.0000 0.0000 6.6858
Ho 2.2793 2.2793 1.5246
Er 0.0000 0.0000 0.0000
```

***

# 5
Entry from Alexandria via LeMat-Bulk: a relaxed Np4InGa15 crystal (GGA-PBE).

Output
- Calculated volume: 393.1 Å³/cell
- Formation enthalpy at 0 K: -0.13 eV/atom
- Total magnetization: 16.07 μB per formula unit

The structure in extended XYZ format:
```
20
Lattice="-0.0493 3.4472 -2.4978 -3.2232 1.6015 2.2739 14.1670 9.7682 13.2020" Properties=species:S:1:pos:R:3 pbc="T T T"
Np -0.4059 7.0253 2.4475
Np 2.4072 8.9649 5.0690
Np 8.4873 5.8520 7.9091
Np 11.3004 7.7917 10.5306
In 0.0000 0.0000 0.0000
Ga -1.6362 2.5244 -0.1119
Ga 1.3213 4.5636 2.6441
Ga 4.0547 6.4483 5.1914
Ga 6.8398 8.3686 7.7867
Ga 9.5732 10.2534 10.3340
Ga 1.4452 2.7371 0.1209
Ga 1.0322 6.2762 5.0135
Ga 7.0589 6.6077 5.3521
Ga 9.8623 8.5407 7.9646
Ga 9.4493 12.0799 12.8572
Ga -0.1418 1.8142 2.5067
Ga 2.6192 7.1991 2.6277
Ga 5.4719 5.6849 7.7379
Ga 8.2754 7.6179 10.3504
Ga 11.0363 13.0027 10.4714
```

***

# 6
Entry from Alexandria via LeMat-Bulk: a relaxed AcCeOs crystal (GGA-PBE).

Output
- Calculated volume: 89.2 Å³/cell
- Formation enthalpy at 0 K: 0.05 eV/atom
- Distance to the lowest polymorph of the same formula: 130.5 meV per atom
- Total magnetization: 0.74 μB per formula unit

The structure in extended XYZ format:
```
3
Lattice="5.0146 0.0000 0.0000 2.5073 4.3427 0.0000 2.5073 1.4476 4.0944" Properties=species:S:1:pos:R:3 pbc="T T T"
Ac 0.0000 0.0000 0.0000
Os 2.5073 1.4476 1.0236
Ce 5.0146 2.8952 2.0472
```

***

# 7
Entry from Alexandria via LeMat-Bulk: a relaxed CsSr3Pd crystal (GGA-PBE).

Output
- Calculated volume: 540.4 Å³/cell
- Formation enthalpy at 0 K: -0.22 eV/atom
- Distance to the lowest polymorph of the same formula: 16.2 meV per atom
- Total magnetization: 0.00 μB per formula unit

The structure in extended XYZ format:
```
10
Lattice="7.3849 -0.0004 -0.0022 0.0001 9.5916 0.0038 0.0021 -0.0033 7.6298" Properties=species:S:1:pos:R:3 pbc="T T T"
Cs 5.5245 4.6783 0.1364
Cs 1.8328 4.6771 3.0416
Sr 5.5285 1.9088 4.1233
Sr 1.8368 1.9078 6.6849
Sr 1.8363 9.4723 2.9855
Sr 1.8368 7.4427 6.6868
Sr 5.5281 9.4735 0.1999
Sr 5.5285 7.4433 4.1254
Pd 7.3751 9.4711 5.4062
Pd 3.6837 9.4713 5.4078
```

***

# 8
Entry from Alexandria via LeMat-Bulk: a relaxed AgHg2Pd8 crystal (GGA-PBE).

Output
- Calculated volume: 191.2 Å³/cell
- Formation enthalpy at 0 K: -0.02 eV/atom
- Distance to the lowest polymorph of the same formula: 0.0 meV per atom
- Total magnetization: 0.00 μB per formula unit

The structure in extended XYZ format:
```
11
Lattice="-2.0792 -2.4948 2.1072 5.9516 -5.7835 -0.9748 0.7356 6.0607 4.3449" Properties=species:S:1:pos:R:3 pbc="T T T"
Ag -1.0396 -1.2474 1.0536
Hg 3.7595 -2.3281 0.9531
Hg 0.8485 0.1106 4.5242
Pd 4.3447 -4.9678 1.9616
Pd 3.2922 -0.1931 3.0197
Pd 0.9267 0.6665 1.7034
Pd 0.0883 2.1746 6.2176
Pd 3.6813 -2.8840 3.7739
Pd 1.3158 -2.0244 2.4577
Pd 0.2632 2.7503 3.5158
Pd 4.5197 -4.3921 -0.7403
```

***

# 9
Entry from Alexandria via LeMat-Bulk: a relaxed LiMoPt2 crystal (GGA-PBE).

Output
- Calculated volume: 59.4 Å³/cell
- Formation enthalpy at 0 K: -0.36 eV/atom
- Distance to the lowest polymorph of the same formula: 89.3 meV per atom
- Total magnetization: 0.00 μB per formula unit

The structure in extended XYZ format:
```
4
Lattice="-3.4801 -2.5640 -4.6247 -1.2716 -0.1885 4.5826 -2.3266 1.3052 -0.5955" Properties=species:S:1:pos:R:3 pbc="T T T"
Li -1.7991 0.5584 1.9935
Mo -2.3759 -1.3762 -0.0211
Pt 0.0000 0.0000 0.0000
Pt -2.9034 -0.6294 -2.6101
```

***

# 10
Entry from Alexandria via LeMat-Bulk: a relaxed CsLiCa2Pt crystal (GGA-PBE).

Output
- Calculated volume: 184.3 Å³/cell
- Formation enthalpy at 0 K: -0.22 eV/atom
- Total magnetization: 0.00 μB per formula unit

The structure in extended XYZ format:
```
5
Lattice="-0.8746 0.7532 -5.5185 -2.8456 -4.8625 -0.2127 -4.9226 2.8298 1.1664" Properties=species:S:1:pos:R:3 pbc="T T T"
Cs -4.3214 -0.6397 -2.2824
Ca -1.4228 -2.4312 -0.1063
Ca -0.4373 0.3766 -2.7593
Pt 0.0000 0.0000 0.0000
Li -2.4613 1.4149 0.5832
```

***

# 11
Entry from Alexandria via LeMat-Bulk: a relaxed Nd4Sm2TmMg crystal (GGA-PBE).

Output
- Calculated volume: 261.0 Å³/cell
- Formation enthalpy at 0 K: 0.01 eV/atom
- Total magnetization: 0.00 μB per formula unit

The structure in extended XYZ format:
```
8
Lattice="5.0848 0.0000 0.0000 0.0000 4.9679 1.0774 0.0001 2.8336 10.9448" Properties=species:S:1:pos:R:3 pbc="T T T"
Nd 0.0001 5.8489 9.0376
Nd 5.0848 1.9527 2.9845
Nd 2.5425 4.4347 3.5258
Nd 2.5425 3.3669 8.4963
Sm 0.0001 2.8336 10.9448
Sm 2.5424 1.4168 5.4724
Tm 0.0001 3.9008 6.0111
Mg 2.5425 5.3176 11.4834
```